Record 1
First-principles (PBE-GGA) data for a geometry-optimized SrLaCr2 structure, as listed in Alexandria.

Results
Final energy ... -23.8 eV per cell
M_tot ... 0.276 μB/f.u.
Crystal system ... tetragonal
Calculated formation energy ... 502.3 meV per atom
Density of states at the Fermi level ... 4.17 states/eV/f.u.
Relative energy among the computed polymorphs ... 0 meV/atom

Unit cell a=3.4601 b=3.4601 c=9.0309 alpha=90.00 beta=90.00 gamma=90.00
Closest atoms and distances in Å follow each position.
Fractional coordinates of all 4 atoms:
Cr 0.0000 0.0000 0.0888  4 Cr 2.57
Cr 0.5000 0.5000 0.1752  4 Cr 2.57
Sr 0.5000 0.5000 0.8105  5 Cr 3.29-3.51, 4 Sr 3.46
La 0.0000 0.0000 0.4255  5 Cr 3.04-3.33

Record 2
First-principles (PBE-GGA) data for a geometry-optimized BeNi2W structure, as listed in Alexandria.

Results
Final energy ... -28.2 eV per cell
M_tot ... 0.000 μB/f.u.
Crystal system ... cubic
Calculated formation energy ... 15.6 meV per atom
Density of states at the Fermi level ... 1.02 states/eV/f.u.

Unit cell a=4.0119 b=4.0119 c=4.0119 alpha=60.00 beta=60.00 gamma=60.00
Closest atoms and distances in Å follow each position.
Fractional coordinates of all 4 atoms:
W 0.7500 0.7500 0.7500  4 Be 2.46, 4 Ni 2.46
Be 0.5000 0.5000 0.5000  4 Ni 2.46, 4 W 2.46
Ni 0.0000 0.0000 0.0000  4 W 2.46, 4 Ni 2.46
Ni 0.2500 0.2500 0.2500  4 Ni 2.46, 4 Be 2.46

Record 3
First-principles (PBE-GGA) data for a geometry-optimized In3SiPt structure, as listed in Alexandria.

Results
Final energy ... -18.3 eV per cell
M_tot ... 0.000 μB/f.u.
Crystal system ... cubic
Density of states at the Fermi level ... 3.60 states/eV/f.u.
ΔE_f (raw) ... 26.3 kJ/mol of atoms
Relative energy among the computed polymorphs ... 0 meV/atom

Unit cell a=5.1554 b=5.1554 c=5.1554 alpha=90.00 beta=90.00 gamma=90.00
Closest atoms and distances in Å follow each position.
Fractional coordinates of all 5 atoms:
In 0.0000 0.5000 0.0000  2 Pt 2.58
In 0.5000 0.0000 0.0000  2 Pt 2.58
In 0.0000 0.0000 0.5000  2 Pt 2.58
Si 0.5000 0.5000 0.5000  12 In 3.65
Pt 0.0000 0.0000 0.0000  6 In 2.58

Record 4
First-principles (PBE-GGA) data for a geometry-optimized NaIn3Ga3 structure, as listed in Alexandria.

Results
Final energy ... -34.4 eV per cell
M_tot ... 0.000 μB/f.u.
Crystal system ... cubic
Calculated formation energy ... 199.1 meV per atom
Density of states at the Fermi level ... 3.86 states/eV/f.u.
Relative energy among the computed polymorphs ... 204 meV/atom

Unit cell a=7.7118 b=7.7118 c=7.7118 alpha=90.00 beta=90.00 gamma=90.00
Closest atoms and distances in Å follow each position.
Fractional coordinates of all 14 atoms:
In 0.0000 0.5000 0.2500  4 Ga 2.73
In 0.5000 0.7500 0.0000  4 Ga 2.73
In 0.7500 0.0000 0.5000  4 Ga 2.73
In 0.5000 0.2500 0.0000  4 Ga 2.73
In 0.2500 0.0000 0.5000  4 Ga 2.73
In 0.0000 0.5000 0.7500  4 Ga 2.73
Ga 0.2500 0.5000 0.0000  4 In 2.73
Ga 0.7500 0.5000 0.0000  4 In 2.73
Ga 0.5000 0.0000 0.7500  4 In 2.73
Ga 0.5000 0.0000 0.2500  4 In 2.73
Ga 0.0000 0.7500 0.5000  4 In 2.73
Ga 0.0000 0.2500 0.5000  4 In 2.73
Na 0.5000 0.5000 0.5000  12 In 4.31, 12 Ga 4.31
Na 0.0000 0.0000 0.0000  12 In 4.31, 12 Ga 4.31

Record 5
First-principles (PBE-GGA) data for a geometry-optimized KCuI3 structure, as listed in Alexandria.

Results
Final energy ... -8.2 eV per cell
M_tot ... 1.000 μB/f.u.
Crystal system ... cubic
Density of states at the Fermi level ... 11.17 states/eV/f.u.
ΔE_f (raw) ... 32.4 kJ/mol of atoms

Unit cell a=6.5003 b=6.5003 c=6.5003 alpha=90.00 beta=90.00 gamma=90.00
Closest atoms and distances in Å follow each position.
Fractional coordinates of all 5 atoms:
K 0.0000 0.0000 0.0000  6 I 3.25
Cu 0.5000 0.5000 0.5000  12 I 4.60
I 0.0000 0.5000 0.0000  2 K 3.25
I 0.0000 0.0000 0.5000  2 K 3.25
I 0.5000 0.0000 0.0000  2 K 3.25

Record 6
First-principles (PBE-GGA) data for a geometry-optimized LaGeBr3 structure, as listed in Alexandria.

Results
Final energy ... -16.8 eV per cell
M_tot ... 1.582 μB/f.u.
Crystal system ... cubic
Density of states at the Fermi level ... 7.51 states/eV/f.u.
ΔE_f (raw) ... -42.8 kJ/mol of atoms
Relative energy among the computed polymorphs ... 394 meV/atom

Unit cell a=5.4539 b=5.4539 c=5.4539 alpha=90.00 beta=90.00 gamma=90.00
Closest atoms and distances in Å follow each position.
Fractional coordinates of all 5 atoms:
Br 0.5000 0.0000 0.0000  2 Ge 2.73
Br 0.0000 0.5000 0.0000  2 Ge 2.73
Br 0.0000 0.0000 0.5000  2 Ge 2.73
Ge 0.0000 0.0000 0.0000  6 Br 2.73
La 0.5000 0.5000 0.5000  12 Br 3.86

Record 7
First-principles (PBE-GGA) data for a geometry-optimized Dy3Tl2Cd structure, as listed in Alexandria.

Results
Final energy ... -43.0 eV per cell
M_tot ... 0.000 μB/f.u.
Crystal system ... trigonal
Calculated formation energy ... -340.7 meV per atom
Density of states at the Fermi level ... 6.02 states/eV/f.u.
Relative energy among the computed polymorphs ... 0 meV/atom

Unit cell a=5.3408 b=5.3408 c=13.0650 alpha=90.00 beta=90.00 gamma=120.00
Closest atoms and distances in Å follow each position.
Fractional coordinates of all 12 atoms:
Dy 0.3333 0.6667 0.9169  1 Cd 3.25, 7 Tl 3.27-3.35
Dy 0.3333 0.6667 0.4187  4 Tl 3.21-3.26, 4 Cd 3.26-3.28
Dy 0.0000 0.0000 0.7487  5 Tl 3.25-3.28, 3 Cd 3.26
Dy 0.6667 0.3333 0.0831  1 Cd 3.25, 7 Tl 3.27-3.35
Dy 0.0000 0.0000 0.2513  5 Tl 3.25-3.28, 3 Cd 3.26
Dy 0.6667 0.3333 0.5813  4 Tl 3.21-3.26, 4 Cd 3.26-3.28
Tl 0.6667 0.3333 0.8269  8 Dy 3.21-3.35
Tl 0.0000 0.0000 0.0000  8 Dy 3.27-3.28
Tl 0.0000 0.0000 0.5000  8 Dy 3.25-3.26
Tl 0.3333 0.6667 0.1731  8 Dy 3.21-3.35
Cd 0.3333 0.6667 0.6678  8 Dy 3.25-3.28
Cd 0.6667 0.3333 0.3322  8 Dy 3.25-3.28

Record 8
First-principles (PBE-GGA) data for a geometry-optimized HfTi6Mn2 structure, as listed in Alexandria.

Results
Final energy ... -76.8 eV per cell
M_tot ... 0.000 μB/f.u.
Crystal system ... monoclinic
Calculated formation energy ... -127.6 meV per atom
Density of states at the Fermi level ... 8.18 states/eV/f.u.

Unit cell a=3.0686 b=5.3493 c=9.5216 alpha=75.59 beta=80.73 gamma=73.33
Closest atoms and distances in Å follow each position.
Fractional coordinates of all 9 atoms:
Mn 0.3334 0.1051 0.2280  6 Ti 2.51-2.56, 2 Hf 2.78
Mn 0.6666 0.8949 0.7720  6 Ti 2.51-2.56, 2 Hf 2.78
Ti 0.0199 0.2848 0.6754  2 Mn 2.53, 2 Ti 2.83
Ti 0.6912 0.4891 0.1285  2 Mn 2.51
Ti 0.9801 0.7152 0.3246  2 Mn 2.53, 2 Ti 2.83
Ti 0.6789 0.2167 0.4254  2 Mn 2.56, 3 Ti 2.81-2.84
Ti 0.3211 0.7833 0.5746  2 Mn 2.56, 3 Ti 2.81-2.84
Ti 0.3088 0.5109 0.8715  2 Mn 2.51
Hf 0.0000 0.0000 0.0000  4 Mn 2.78, 8 Ti 3.01-3.09, 2 Hf 3.07

Record 9
First-principles (PBE-GGA) data for a geometry-optimized NaCeHgAu structure, as listed in Alexandria.

Results
Final energy ... -12.3 eV per cell
M_tot ... 1.077 μB/f.u.
Crystal system ... cubic
Calculated formation energy ... -372.4 meV per atom
Density of states at the Fermi level ... 7.73 states/eV/f.u.

Unit cell a=5.1940 b=5.1940 c=5.1940 alpha=60.00 beta=60.00 gamma=60.00
Closest atoms and distances in Å follow each position.
Fractional coordinates of all 4 atoms:
Hg 0.5000 0.5000 0.5000  4 Na 3.18, 4 Ce 3.18
Na 0.2500 0.2500 0.2500  4 Au 3.18, 4 Hg 3.18
Au 0.0000 0.0000 0.0000  4 Ce 3.18, 4 Na 3.18
Ce 0.7500 0.7500 0.7500  4 Hg 3.18, 4 Au 3.18

Record 10
First-principles (PBE-GGA) data for a geometry-optimized UAlH structure, as listed in Alexandria.

Results
Final energy ... -36.8 eV per cell
M_tot ... 0.000 μB/f.u.
Crystal system ... triclinic
Density of states at the Fermi level ... 3.79 states/eV/f.u.
Relative energy among the computed polymorphs ... 0 meV/atom

Unit cell a=3.3254 b=6.5596 c=5.0763 alpha=86.51 beta=48.83 gamma=84.77
Closest atoms and distances in Å follow each position.
Fractional coordinates of all 6 atoms:
U 0.0729 0.6027 0.7506  2 H 2.14-2.17
U 0.9271 0.3973 0.2494  2 H 2.14-2.17
H 0.5315 0.8126 0.7487  2 Al 1.97, 2 U 2.14-2.17
H 0.4685 0.1874 0.2513  2 Al 1.97, 2 U 2.14-2.17
Al 0.9890 0.1144 0.7505  2 H 1.97
Al 0.0110 0.8856 0.2495  2 H 1.97

Record 11
First-principles (PBE-GGA) data for a geometry-optimized Eu2CdI structure, as listed in Alexandria.

Results
Final energy ... -25.8 eV per cell
M_tot ... 14.956 μB/f.u.
Crystal system ... tetragonal
Density of states at the Fermi level ... 8.82 states/eV/f.u.
ΔE_f (raw) ... -66.9 kJ/mol of atoms
Relative energy among the computed polymorphs ... 0 meV/atom

Unit cell a=3.9262 b=3.9262 c=8.5997 alpha=90.00 beta=90.00 gamma=90.00
Closest atoms and distances in Å follow each position.
Fractional coordinates of all 4 atoms:
I 0.5000 0.5000 0.5000  8 Eu 3.62, 4 I 3.93
Cd 0.5000 0.5000 0.0000  8 Eu 3.41
Eu 0.0000 0.0000 0.7693  4 Cd 3.41, 4 I 3.62
Eu 0.0000 0.0000 0.2307  4 Cd 3.41, 4 I 3.62

Question: What is the density of states at the Fermi level in the third record?
Answer: 3.60 states/eV/f.u.